CuTc2H, optimized geometry, DFT GGA-PBE; DFT total energy = -6.653 eV per atom; relative energy among the computed polymorphs = 0.000 eV/atom
1.0
-0.594 -0.472 5.744
4.890 -3.097 0.251
3.574 0.494 3.332
H Tc Cu
2 4 2
Direct
0.500 0.500 0.000
0.250 0.750 0.500
0.525 0.125 0.250
0.225 0.625 0.250
0.375 0.475 0.750
0.875 0.775 0.750
0.000 0.000 0.000
0.750 0.250 0.500